[1]
VZnSbI2 | PBE | relaxed

ρ   5.26 g/cm³
Excess energy over the best structure of this formula in the dataset   0 meV per atom
Density of states at the Fermi level   4.79 states/eV/cell
SG   P4/mmm, No. 123
Formation energy (no corrections)   0.356 eV/atom

Cell lengths 5.449, 5.449, 5.232 Å; angles 90.00, 90.00, 90.00 degrees
Element x y z (fractional)
I 0.000 0.500 0.000
I 0.500 0.000 0.000
Sb 0.000 0.000 0.500
Zn 0.500 0.500 0.500
V 0.000 0.000 0.000

[2]
VZnSb2I | PBE | relaxed

ρ   5.49 g/cm³
Excess energy over the best structure of this formula in the dataset   719 meV per atom
Density of states at the Fermi level   7.11 states/eV/cell
SG   P4/mmm, No. 123
Formation energy (no corrections)   1.100 eV/atom

Cell lengths 5.102, 5.102, 5.661 Å; angles 90.00, 90.00, 90.00 degrees
Last column: magnetic moment on the atom in μB.
Element x y z (fractional)
I 0.000 0.000 0.500  -0.02
Sb 0.000 0.500 0.000  -0.03
Sb 0.500 0.000 0.000  -0.03
Zn 0.000 0.000 0.000  0.00
V 0.500 0.500 0.500  0.08

[3]
VZnSb2I | PBE | relaxed

ρ   5.37 g/cm³
Excess energy over the best structure of this formula in the dataset   0 meV per atom
Density of states at the Fermi level   2.50 states/eV/cell
SG   P4/mmm, No. 123
Formation energy (no corrections)   0.381 eV/atom

Cell lengths 5.061, 5.061, 5.880 Å; angles 90.00, 90.00, 90.00 degrees
Last column: magnetic moment on the atom in μB.
Element x y z (fractional)
I 0.000 0.000 0.500  -0.02
Sb 0.000 0.500 0.000  -0.08
Sb 0.500 0.000 0.000  -0.08
Zn 0.500 0.500 0.500  -0.03
V 0.000 0.000 0.000  0.66

[4]
VZnSbI2 | PBE | relaxed

ρ   5.16 g/cm³
Excess energy over the best structure of this formula in the dataset   655 meV per atom
Density of states at the Fermi level   9.81 states/eV/cell
SG   P4/mmm, No. 123
Formation energy (no corrections)   1.012 eV/atom

Cell lengths 5.452, 5.452, 5.321 Å; angles 90.00, 90.00, 90.00 degrees
Element x y z (fractional)
I 0.000 0.500 0.000
I 0.500 0.000 0.000
Sb 0.000 0.000 0.500
Zn 0.000 0.000 0.000
V 0.500 0.500 0.500

[5]
SbW2I2 | PBE | relaxed

ρ   10.53 g/cm³
Excess energy over the best structure of this formula in the dataset   59 meV per atom
Density of states at the Fermi level   11.63 states/eV/cell
SG   P4/mbm, No. 127
Formation energy (no corrections)   1.317 eV/atom

Cell lengths 8.103, 8.103, 3.571 Å; angles 90.00, 90.00, 90.00 degrees
Element x y z (fractional)
I 0.165 0.665 0.500
I 0.665 0.835 0.500
I 0.835 0.335 0.500
I 0.335 0.165 0.500
Sb 0.000 0.000 0.000
Sb 0.500 0.500 0.000
W 0.393 0.893 0.000
W 0.893 0.607 0.000
W 0.607 0.107 0.000
W 0.107 0.393 0.000

[6]
Sb2WI | PBE | relaxed

ρ   9.78 g/cm³
Density of states at the Fermi level   3.97 states/eV/cell
SG   Fm-3m, No. 225
Formation energy (no corrections)   1.174 eV/atom

Cell lengths 5.105, 5.105, 5.105 Å; angles 60.00, 60.00, 60.00 degrees
Last column: magnetic moment on the atom in μB.
Element x y z (fractional)
I 0.000 0.000 0.000  -0.02
Sb 0.250 0.250 0.250  -0.01
Sb 0.750 0.750 0.750  -0.01
W 0.500 0.500 0.500  0.34

[7]
SbW2I2 | PBE | relaxed

ρ   7.24 g/cm³
Excess energy over the best structure of this formula in the dataset   900 meV per atom
Density of states at the Fermi level   7.08 states/eV/cell
SG   P4/mmm, No. 123
Formation energy (no corrections)   2.158 eV/atom

Cell lengths 5.370, 5.370, 5.915 Å; angles 90.00, 90.00, 90.00 degrees
Last column: magnetic moment on the atom in μB.
Element x y z (fractional)
I 0.500 0.500 0.500  -0.02
I 0.000 0.000 0.500  0.07
Sb 0.000 0.000 0.000  -0.10
W 0.000 0.500 0.000  2.60
W 0.500 0.000 0.000  2.60

[8]
SbWI2 | PBE | relaxed

ρ   9.65 g/cm³
Density of states at the Fermi level   2.72 states/eV/cell
SG   Fm-3m, No. 225
Formation energy (no corrections)   1.344 eV/atom

Cell lengths 5.143, 5.143, 5.143 Å; angles 60.00, 60.00, 60.00 degrees
Element x y z (fractional)
I 0.250 0.250 0.250
I 0.750 0.750 0.750
Sb 0.000 0.000 0.000
W 0.500 0.500 0.500